Entry 1:
YCr2RuS | PBE | relaxed

The structure in POSCAR format:
```
YCr2RuS
1.0
5.2191 0.0000 0.0000
0.0000 5.2191 0.0000
0.0000 0.0000 4.9150
Y Cr Ru S
1 2 1 1
Direct
0.0000 0.0000 0.0000
0.0000 0.5000 0.0000
0.5000 0.0000 0.0000
0.5000 0.5000 0.5000
0.0000 0.0000 0.5000
```

Computed properties:
**Final energy**: -6.040 eV/atom
**Formation energy (no corrections)**: 860 kJ/mol of formula units
**SG**: P4/mmm



Entry 2:
CrSbRu2 | PBE | relaxed

The structure in POSCAR format:
```
CrSbRu2
1.0
5.4983 0.0000 0.0000
0.0000 5.4983 0.0000
0.0000 0.0000 11.3762
Cr Sb Ru
4 4 8
Direct
0.0000 0.0000 0.0000
0.0000 0.5000 0.2500
0.5000 0.0000 0.7500
0.5000 0.5000 0.5000
0.0000 0.0000 0.5000
0.0000 0.5000 0.7500
0.5000 0.0000 0.2500
0.5000 0.5000 0.0000
0.1987 0.2500 0.1250
0.2500 0.6987 0.3750
0.2500 0.8013 0.8750
0.3013 0.2500 0.6250
0.6987 0.7500 0.6250
0.7500 0.1987 0.8750
0.7500 0.3013 0.3750
0.8013 0.7500 0.1250
```

Computed properties:
**Final energy**: -7.301 eV/atom
**Formation energy (no corrections)**: 299 kJ/mol of formula units
**SG**: I-42d



Entry 3:
Cr2SbRu | PBE | relaxed

The structure in POSCAR format:
```
Cr2SbRu
1.0
3.9927 0.0000 0.0000
0.0000 3.9927 0.0000
0.0000 0.0000 3.9099
Cr Sb Ru
2 1 1
Direct
0.0000 0.5000 0.0000
0.5000 0.0000 0.0000
0.0000 0.0000 0.5000
0.5000 0.5000 0.5000
```

Computed properties:
**Final energy**: -7.899 eV/atom
**Formation energy (no corrections)**: 101 kJ/mol of formula units
**SG**: P4/mmm